# MgCr4Cu3O12 (PBE+U, optimized geometry)
data_MgCr4Cu3O12
_chemical_formula_sum 'Mg1 Cr4 Cu3 O12'
_cell_length_a 6.363
_cell_length_b 6.363
_cell_length_c 6.363
_cell_angle_alpha 109.47
_cell_angle_beta 109.47
_cell_angle_gamma 109.47
_symmetry_space_group_name_H-M 'P 1'
_symmetry_Int_Tables_number 1
_symmetry_space_group_name_Hall 'P 1'
loop_
_atom_site_label
_atom_site_fract_x
_atom_site_fract_y
_atom_site_fract_z
Mg1 0.000 0.000 0.000
Cr1 0.000 0.000 0.500
Cr2 0.000 0.500 0.000
Cr3 0.500 0.000 0.000
Cr4 0.500 0.500 0.500
Cu1 0.000 0.500 0.500
Cu2 0.500 0.000 0.500
Cu3 0.500 0.500 0.000
O1 0.141 0.833 0.309
O2 0.167 0.309 0.476
O3 0.167 0.691 0.859
O4 0.309 0.141 0.833
O5 0.309 0.476 0.167
O6 0.476 0.167 0.309
O7 0.524 0.833 0.691
O8 0.691 0.524 0.833
O9 0.691 0.859 0.167
O10 0.833 0.309 0.141
O11 0.833 0.691 0.524
O12 0.859 0.167 0.691
# E (eV/atom): -6.537
# Space group: Im-3 (204)